Here is a relaxed Dy6Ho12Al crystal from the Alexandria database. Energies are from GGA-PBE.

Values from the calculation:
* total DFT energy (no corrections): -84.5 eV/cell

```
19
Lattice="5.859 3.382 4.941 -5.859 3.382 4.941 0.000 -6.765 4.941" Properties=species:S:1:pos:R:3 pbc="T T T"
Dy -3.217 -0.759 7.710
Dy -0.952 -3.165 7.113
Dy -2.265 2.407 7.113
Dy 2.265 -2.407 7.710
Dy 0.952 3.165 7.710
Dy 3.217 0.759 7.113
Ho -5.257 1.393 6.202
Ho -3.835 -3.857 8.621
Ho -2.026 -0.038 4.665
Ho 1.422 -5.250 6.202
Ho 1.046 -1.735 4.665
Ho 0.980 1.774 4.665
Ho -0.980 -1.774 10.158
Ho -1.046 1.735 10.158
Ho -1.422 5.250 8.621
Ho 2.026 0.038 10.158
Ho 3.835 3.857 6.202
Ho 5.257 -1.393 8.621
Al 0.000 0.000 7.411
```